Sr (PBE, optimized geometry); VASP energy = -1.424 eV per atom; space-group type = I4_1/amd (141); formation energy = 0.2582 eV per atom; magnetic moment = 0.01 μB/f.u.
1.0
5.6031 0.0056 0.0000
-4.1891 3.7211 0.0000
-0.7070 -1.8634 5.2367
Sr
2
Cartesian
0.0000 0.0000 0.0000
-2.0945 1.8606 2.6184

HfIrSe2 (PBE, optimized geometry); VASP energy = -6.678 eV per atom; space-group type = Fm-3m (225); E_form (uncorrected) = -5.3 kcal/mol of atoms; magnetic moment = 0.00 μB/f.u.
1.0
0.0000 3.2635 3.2635
3.2635 0.0000 3.2635
3.2635 3.2635 0.0000
Ir Se Hf
1 2 1
Cartesian
3.2635 3.2635 3.2635
1.6317 1.6317 1.6317
4.8952 4.8952 4.8952
0.0000 0.0000 0.0000

Question: What is the magnetic moment in the first record?
Answer: 0.01 μB/f.u.

Question: magnetic moment of number 2 (HfIrSe2)?
Answer: 0.00 μB/f.u.

Question: Look up the magnetic moment of the second one.
Answer: 0.00 μB/f.u.